Density functional theory data (PBE) for an optimized crystal structure of Tl5Hg3.

Values from the calculation:
ΔH_f (0 K): -0.0066 eV/atom
energy above the most stable polymorph in this dataset: 0.00 eV per formula unit

abc: 3.9890 3.9890 14.7520
angles: 90.00 90.00 90.00
With the nearest neighbours (Å) after each atom.
Element x y z (fractional)
Tl: 0.0000 0.0000 0.0000  8 Hg 3.35, 2 Tl 3.58
Tl: 0.0000 0.0000 0.2428  4 Hg 3.33, 5 Tl 3.47-3.58
Tl: 0.0000 0.0000 0.7572  4 Hg 3.33, 5 Tl 3.47-3.58
Tl: 0.5000 0.5000 0.3793  4 Hg 3.34, 5 Tl 3.47-3.56
Tl: 0.5000 0.5000 0.6207  4 Hg 3.34, 5 Tl 3.47-3.56
Hg: 0.0000 0.0000 0.5000  8 Tl 3.34
Hg: 0.5000 0.5000 0.1229  8 Tl 3.33-3.35, 1 Hg 3.63
Hg: 0.5000 0.5000 0.8771  8 Tl 3.33-3.35, 1 Hg 3.63